VASP calculation (GGA-PBE) on a relaxed structure of Mn5Co2H12.

The structure in CIF format:
```
data_Mn5Co2H12
_space_group_name_H-M_alt 'C 1 2/m 1'
_space_group_IT_number 12
_cell_length_a 9.485
_cell_length_b 4.915
_cell_length_c 5.656
_cell_angle_alpha 90.00
_cell_angle_beta 105.99
_cell_angle_gamma 90.00
loop_
_space_group_symop_operation_xyz
'x,y,z'
'-x,-y,-z'
'-x,y,-z'
'x,-y,z'
'x+1/2,y+1/2,z'
'-x+1/2,-y+1/2,-z'
'-x+1/2,y+1/2,-z'
'x+1/2,-y+1/2,z'
loop_
_atom_site_label
_atom_site_type_symbol
_atom_site_fract_x
_atom_site_fract_y
_atom_site_fract_z
_atom_site_occupancy
Mn1 Mn 0.000 0.000 0.000 1
Mn2 Mn 0.198 0.500 0.863 1
Mn3 Mn 0.209 0.500 0.343 1
Co1 Co 0.000 0.248 0.500 1
H1 H 0.002 0.500 0.290 1
H2 H 0.032 0.000 0.333 1
H3 H 0.158 0.258 0.076 1
H4 H 0.179 0.292 0.597 1
```

Summary:
As for the volume: 253.5 Å³ per cell. The final energy comes out at -198.49 eV/cell. The value obtained for the density of states at the Fermi level is 0.4200 states/eV per atom.